#one
Computed, not measured: LaSeS3 after structural relaxation at the GGA-PBE level of DFT.

Computed properties:
SG   Pm-3m, No. 221
Total magnetic moment   0.95 μB/f.u.

Cell lengths 5.5832, 5.5832, 5.5832 Å; angles 90.00, 90.00, 90.00 degrees
Last column: nearest neighbours and their distance in Å.
Fractional positions:
1 Se 0.5000 0.5000 0.5000  12 S 3.95
2 La 0.0000 0.0000 0.0000  6 S 2.79
3 S 0.0000 0.0000 0.5000  2 La 2.79
4 S 0.0000 0.5000 0.0000  2 La 2.79
5 S 0.5000 0.0000 0.0000  2 La 2.79

#two
Computed, not measured: LaSeS3 after structural relaxation at the GGA-PBE level of DFT.

Computed properties:
SG   Pm-3m, No. 221
Total magnetic moment   0.00 μB/f.u.

Cell lengths 4.8134, 4.8134, 4.8134 Å; angles 90.00, 90.00, 90.00 degrees
Last column: nearest neighbours and their distance in Å.
Fractional positions:
1 La 0.5000 0.5000 0.5000  12 S 3.40
2 S 0.5000 0.0000 0.0000  2 Se 2.41
3 S 0.0000 0.5000 0.0000  2 Se 2.41
4 S 0.0000 0.0000 0.5000  2 Se 2.41
5 Se 0.0000 0.0000 0.0000  6 S 2.41

Which structure is the most stable? The one labeled #two.

#one
Computed, not measured: La4Se3S after structural relaxation at the GGA-PBE level of DFT.

Computed properties:
SG   Cmmm, No. 65
Total magnetic moment   0.00 μB/f.u.

Cell lengths 4.2600, 7.4240, 7.4240 Å; angles 109.31, 90.00, 90.00 degrees
Last column: nearest neighbours and their distance in Å.
Fractional positions:
1 S 0.5000 0.0000 0.0000  6 La 2.94
2 Se 0.0000 0.0000 0.5000  6 La 3.03
3 La 0.0000 0.2363 0.2363  2 S 2.94, 4 Se 3.03-3.11
4 Se 0.5000 0.5000 0.5000  6 La 3.11
5 La 0.0000 0.7637 0.7637  2 S 2.94, 4 Se 3.03-3.11
6 Se 0.0000 0.5000 0.0000  6 La 3.03
7 La 0.5000 0.2429 0.7571  1 S 2.94, 5 Se 3.03-3.11
8 La 0.5000 0.7571 0.2429  1 S 2.94, 5 Se 3.03-3.11

#two
Computed, not measured: La4Se3S after structural relaxation at the GGA-PBE level of DFT.

Computed properties:
SG   Pm-3m, No. 221
Total magnetic moment   0.00 μB/f.u.

Cell lengths 6.0538, 6.0538, 6.0538 Å; angles 90.00, 90.00, 90.00 degrees
Last column: nearest neighbours and their distance in Å.
Fractional positions:
1 S 0.0000 0.0000 0.0000  6 La 3.03
2 La 0.0000 0.0000 0.5000  2 S 3.03, 4 Se 3.03
3 La 0.5000 0.0000 0.0000  2 S 3.03, 4 Se 3.03
4 La 0.5000 0.5000 0.5000  6 Se 3.03
5 Se 0.5000 0.5000 0.0000  6 La 3.03
6 La 0.0000 0.5000 0.0000  2 S 3.03, 4 Se 3.03
7 Se 0.0000 0.5000 0.5000  6 La 3.03
8 Se 0.5000 0.0000 0.5000  6 La 3.03

Which structure is the most stable? The one labeled #one.

#one
Computed, not measured: LaSi3S after structural relaxation at the GGA-PBE level of DFT.

Computed properties:
SG   Pm-3m, No. 221
Total magnetic moment   0.00 μB/f.u.

Cell lengths 4.7431, 4.7431, 4.7431 Å; angles 90.00, 90.00, 90.00 degrees
Last column: nearest neighbours and their distance in Å.
Fractional positions:
1 Si 0.0000 0.0000 0.5000  2 S 2.37
2 La 0.5000 0.5000 0.5000  12 Si 3.35
3 Si 0.0000 0.5000 0.0000  2 S 2.37
4 S 0.0000 0.0000 0.0000  6 Si 2.37
5 Si 0.5000 0.0000 0.0000  2 S 2.37

#two
Computed, not measured: LaSi3S after structural relaxation at the GGA-PBE level of DFT.

Computed properties:
SG   Pm-3m, No. 221
Total magnetic moment   1.71 μB/f.u.

Cell lengths 5.5903, 5.5903, 5.5903 Å; angles 90.00, 90.00, 90.00 degrees
Last column: nearest neighbours and their distance in Å.
Fractional positions:
1 S 0.5000 0.5000 0.5000  12 Si 3.95
2 Si 0.0000 0.0000 0.5000  2 La 2.80
3 Si 0.5000 0.0000 0.0000  2 La 2.80
4 Si 0.0000 0.5000 0.0000  2 La 2.80
5 La 0.0000 0.0000 0.0000  6 Si 2.80

Which structure is the most stable? The one labeled #one.

#one
Computed, not measured: LaSmS2 after structural relaxation at the GGA-PBE level of DFT.

Computed properties:
SG   R-3m, No. 166
Total magnetic moment   0.00 μB/f.u.

Cell lengths 7.1235, 7.1235, 7.1235 Å; angles 33.12, 33.12, 33.12 degrees
Last column: nearest neighbours and their distance in Å.
Fractional positions:
1 S 0.7535 0.7535 0.7535  3 Sm 2.84, 3 La 2.93
2 Sm 0.5000 0.5000 0.5000  6 S 2.84
3 La 0.0000 0.0000 0.0000  6 S 2.93
4 S 0.2465 0.2465 0.2465  3 Sm 2.84, 3 La 2.93

#two
Computed, not measured: LaSmS2 after structural relaxation at the GGA-PBE level of DFT.

Computed properties:
SG   R3m, No. 160
Total magnetic moment   0.00 μB/f.u.

Cell lengths 4.0041, 4.0041, 7.4107 Å; angles 74.33, 74.33, 60.00 degrees
Last column: nearest neighbours and their distance in Å.
Fractional positions:
1 Sm 0.6722 0.6722 0.9835  6 S 2.78-2.92
2 S 0.2543 0.2543 0.2370  3 Sm 2.92, 3 La 3.03
3 S 0.0789 0.0789 0.7633  3 Sm 2.78, 3 La 2.89
4 La 0.4946 0.4946 0.5162  6 S 2.89-3.03

#three
Computed, not measured: LaSmS2 after structural relaxation at the GGA-PBE level of DFT.

Computed properties:
SG   P6_3/mmc, No. 194
Total magnetic moment   0.00 μB/f.u.

Cell lengths 4.0448, 4.0448, 13.6249 Å; angles 90.00, 90.00, 120.00 degrees
Last column: nearest neighbours and their distance in Å.
Fractional positions:
1 Sm 0.0000 0.0000 0.5000  6 S 2.84
2 S 0.3333 0.6667 0.1186  3 Sm 2.84, 3 La 2.94
3 La 0.3333 0.6667 0.7500  6 S 2.94
4 La 0.6667 0.3333 0.2500  6 S 2.94
5 S 0.6667 0.3333 0.6186  3 Sm 2.84, 3 La 2.94
6 Sm 0.0000 0.0000 0.0000  6 S 2.84
7 S 0.3333 0.6667 0.3814  3 Sm 2.84, 3 La 2.94
8 S 0.6667 0.3333 0.8814  3 Sm 2.84, 3 La 2.94

Which structure is the most stable? The one labeled #one.

#one
Computed, not measured: LaSmS3 after structural relaxation at the GGA-PBE level of DFT.

Computed properties:
SG   Pnma, No. 62
Total magnetic moment   0.00 μB/f.u.

Cell lengths 4.1013, 7.5230, 15.6496 Å; angles 90.00, 90.00, 90.00 degrees
Last column: nearest neighbours and their distance in Å.
Fractional positions:
1 La 0.7500 0.3558 0.7023  8 S 2.87-3.16
2 Sm 0.7500 0.2332 0.4560  7 S 2.81-2.99
3 S 0.2500 0.8737 0.9361  3 Sm 2.86-2.97, 2 La 2.99, 1 S 3.17
4 S 0.7500 0.8514 0.2175  1 Sm 2.86, 4 La 2.87-3.02, 1 S 3.17
5 La 0.2500 0.6442 0.2977  8 S 2.87-3.16
6 S 0.2500 0.1486 0.7825  1 Sm 2.86, 4 La 2.87-3.02, 1 S 3.17
7 Sm 0.2500 0.2668 0.9560  7 S 2.81-2.99
8 La 0.7500 0.8558 0.7977  8 S 2.87-3.16
9 S 0.7500 0.4879 0.8939  3 Sm 2.81-2.99
10 S 0.2500 0.0121 0.3939  3 Sm 2.81-2.99
11 Sm 0.2500 0.7668 0.5440  7 S 2.81-2.99
12 La 0.2500 0.1442 0.2023  8 S 2.87-3.16
13 S 0.2500 0.3737 0.5639  3 Sm 2.86-2.97, 2 La 2.99, 1 S 3.17
14 Sm 0.7500 0.7332 0.0440  7 S 2.81-2.99
15 S 0.2500 0.6486 0.7175  1 Sm 2.86, 4 La 2.87-3.02, 1 S 3.17
16 S 0.7500 0.3514 0.2825  1 Sm 2.86, 4 La 2.87-3.02, 1 S 3.17
17 S 0.7500 0.6263 0.4361  3 Sm 2.86-2.97, 2 La 2.99, 1 S 3.17
18 S 0.2500 0.5121 0.1061  3 Sm 2.81-2.99
19 S 0.7500 0.1263 0.0639  3 Sm 2.86-2.97, 2 La 2.99, 1 S 3.17
20 S 0.7500 0.9879 0.6061  3 Sm 2.81-2.99

#two
Computed, not measured: LaSmS3 after structural relaxation at the GGA-PBE level of DFT.

Computed properties:
SG   C2/m, No. 12
Total magnetic moment   0.00 μB/f.u.

Cell lengths 4.6941, 8.2264, 8.0850 Å; angles 95.72, 106.88, 90.00 degrees
Last column: nearest neighbours and their distance in Å.
Fractional positions:
1 S 0.1733 0.5910 0.3466  3 La 2.83-3.00, 1 Sm 2.85
2 La 0.6430 0.3658 0.2859  6 S 2.79-3.00
3 S 0.8267 0.4090 0.6534  3 La 2.83-3.00, 1 Sm 2.85
4 S 0.6811 0.0419 0.3622  3 Sm 2.67-2.98, 1 La 2.79
5 La 0.3570 0.6342 0.7141  6 S 2.79-3.00
6 Sm 0.8746 0.0832 0.7492  6 S 2.67-2.98
7 Sm 0.1254 0.9168 0.2508  6 S 2.67-2.98
8 S 0.0453 0.2201 0.0906  2 Sm 2.76-2.90, 2 La 2.98
9 S 0.9547 0.7799 0.9094  2 Sm 2.76-2.90, 2 La 2.98
10 S 0.3189 0.9581 0.6378  3 Sm 2.67-2.98, 1 La 2.79

Which structure is the most stable? The one labeled #one.

#one
Computed, not measured: La2SnS after structural relaxation at the GGA-PBE level of DFT.

Computed properties:
SG   R3m, No. 160
Total magnetic moment   0.00 μB/f.u.

Cell lengths 4.0431, 4.0431, 8.7306 Å; angles 76.61, 76.61, 60.00 degrees
Last column: nearest neighbours and their distance in Å.
Fractional positions:
1 La 0.0684 0.0684 0.7949  3 S 2.89
2 S 0.6672 0.6672 0.9984  6 La 2.89-2.91
3 Sn 0.4994 0.4994 0.5016  6 La 3.40-3.42
4 La 0.2650 0.2650 0.2050  3 S 2.91

#two
Computed, not measured: La2SnS after structural relaxation at the GGA-PBE level of DFT.

Computed properties:
SG   I-42d, No. 122
Total magnetic moment   0.00 μB/f.u.

Cell lengths 7.9936, 7.9936, 6.9333 Å; angles 54.80, 54.80, 90.00 degrees
Last column: nearest neighbours and their distance in Å.
Fractional positions:
1 S 0.2500 0.7500 0.5000  4 La 2.81
2 La 0.8750 0.8387 0.7500  2 S 2.81
3 La 0.3750 0.4113 0.7500  2 S 2.81
4 S 0.5000 0.5000 0.0000  4 La 2.81
5 La 0.1613 0.6250 0.2500  2 S 2.81
6 Sn 0.0000 0.0000 0.0000  4 La 3.20
7 La 0.5887 0.1250 0.2500  2 S 2.81
8 Sn 0.7500 0.2500 0.5000  4 La 3.20

#three
Computed, not measured: La2SnS after structural relaxation at the GGA-PBE level of DFT.

Computed properties:
SG   Fm-3m, No. 225
Total magnetic moment   0.00 μB/f.u.

Cell lengths 5.4173, 5.4173, 5.4173 Å; angles 60.00, 60.00, 60.00 degrees
Last column: nearest neighbours and their distance in Å.
Fractional positions:
1 S 0.0000 0.0000 0.0000  8 La 3.32
2 Sn 0.5000 0.5000 0.5000  8 La 3.32
3 La 0.2500 0.2500 0.2500  4 S 3.32, 4 Sn 3.32
4 La 0.7500 0.7500 0.7500  4 S 3.32, 4 Sn 3.32

Which structure is the most stable? The one labeled #one.

#one
Computed, not measured: LaSn3S after structural relaxation at the GGA-PBE level of DFT.

Computed properties:
SG   Pm-3m, No. 221
Total magnetic moment   2.24 μB/f.u.

Cell lengths 6.0442, 6.0442, 6.0442 Å; angles 90.00, 90.00, 90.00 degrees
Last column: nearest neighbours and their distance in Å.
Fractional positions:
1 S 0.5000 0.5000 0.5000  12 Sn 4.27
2 Sn 0.0000 0.0000 0.5000  2 La 3.02
3 Sn 0.5000 0.0000 0.0000  2 La 3.02
4 La 0.0000 0.0000 0.0000  6 Sn 3.02
5 Sn 0.0000 0.5000 0.0000  2 La 3.02

#two
Computed, not measured: LaSn3S after structural relaxation at the GGA-PBE level of DFT.

Computed properties:
SG   Pm-3m, No. 221
Total magnetic moment   0.00 μB/f.u.

Cell lengths 5.3015, 5.3015, 5.3015 Å; angles 90.00, 90.00, 90.00 degrees
Last column: nearest neighbours and their distance in Å.
Fractional positions:
1 Sn 0.5000 0.0000 0.0000  2 S 2.65
2 Sn 0.0000 0.5000 0.0000  2 S 2.65
3 S 0.0000 0.0000 0.0000  6 Sn 2.65
4 La 0.5000 0.5000 0.5000  12 Sn 3.75
5 Sn 0.0000 0.0000 0.5000  2 S 2.65

Which structure is the most stable? The one labeled #two.

#one
Computed, not measured: SrLaS3 after structural relaxation at the GGA-PBE level of DFT.

Computed properties:
SG   Pm-3m, No. 221
Total magnetic moment   0.00 μB/f.u.

Cell lengths 5.2800, 5.2800, 5.2800 Å; angles 90.00, 90.00, 90.00 degrees
Last column: nearest neighbours and their distance in Å.
Fractional positions:
1 La 0.5000 0.5000 0.5000  12 S 3.73
2 S 0.5000 0.0000 0.0000  2 Sr 2.64
3 Sr 0.0000 0.0000 0.0000  6 S 2.64
4 S 0.0000 0.5000 0.0000  2 Sr 2.64
5 S 0.0000 0.0000 0.5000  2 Sr 2.64

#two
Computed, not measured: SrLaS3 after structural relaxation at the GGA-PBE level of DFT.

Computed properties:
SG   Pm-3m, No. 221
Total magnetic moment   0.59 μB/f.u.

Cell lengths 5.4412, 5.4412, 5.4412 Å; angles 90.00, 90.00, 90.00 degrees
Last column: nearest neighbours and their distance in Å.
Fractional positions:
1 S 0.0000 0.0000 0.5000  2 La 2.72
2 Sr 0.5000 0.5000 0.5000  12 S 3.85
3 La 0.0000 0.0000 0.0000  6 S 2.72
4 S 0.0000 0.5000 0.0000  2 La 2.72
5 S 0.5000 0.0000 0.0000  2 La 2.72

Which structure is the most stable? The one labeled #two.